Density functional theory data (PBE) for a geometry-optimized YTc2Rh structure.

Values from the calculation:
Theoretical density in g cm⁻³: 9.19
N(E_F) in states/eV/atom: 1.182
Relative energy among the computed polymorphs in meV per atom: 0.0
ΔE_f in kcal/mol of atoms: -0.871

Unit cell a=3.0871 b=3.0871 c=7.3525 alpha=90.00 beta=90.00 gamma=90.00
Last column: nearest neighbours and their distance in Å.
Space group P4mm (No. 99)
Symmetry-distinct sites (fractional):
Y 0.0000 0.0000 0.0000 (multiplicity 1)  4 Rh 2.99, 4 Y 3.09, 4 Tc 3.12
Tc 0.0000 0.0000 0.5141 (multiplicity 1)  4 Tc 2.56, 4 Rh 2.79
Tc 0.5000 0.5000 0.6971 (multiplicity 1)  4 Tc 2.56
Rh 0.5000 0.5000 0.2788 (multiplicity 1)  5 Tc 2.79-3.08, 4 Y 2.99, 4 Rh 3.09



Density functional theory data (PBE) for a geometry-optimized V4Ge2Ir structure.

Values from the calculation:
Theoretical density in g cm⁻³: 6.60
N(E_F) in states/eV/atom: 1.036
Relative energy among the computed polymorphs in meV per atom: 894.4
ΔE_f in kcal/mol of atoms: 15.806

Unit cell a=4.5376 b=4.5376 c=13.2311 alpha=90.00 beta=90.00 gamma=90.00
Last column: nearest neighbours and their distance in Å.
Space group I4/mmm (No. 139)
Symmetry-distinct sites (fractional):
V 0.0000 0.0000 0.1832 (multiplicity 4)  1 Ir 2.42, 1 Ge 2.51
V 0.0000 0.5000 0.0000 (multiplicity 4)  2 Ir 2.27
Ge 0.0000 0.0000 0.3730 (multiplicity 4)  1 V 2.51
Ir 0.0000 0.0000 0.0000 (multiplicity 2)  6 V 2.27-2.42



Density functional theory data (PBE) for a geometry-optimized NaGaBiAu structure.

Values from the calculation:
Theoretical density in g cm⁻³: 8.85
N(E_F) in states/eV/atom: 0.240
ΔE_f in kcal/mol of atoms: -2.638

Unit cell a=7.2070 b=7.2070 c=7.2070 alpha=90.00 beta=90.00 gamma=90.00
Last column: nearest neighbours and their distance in Å.
Space group F-43m (No. 216)
Symmetry-distinct sites (fractional):
Na 0.0000 0.0000 0.0000 (multiplicity 4)  4 Au 3.12, 4 Ga 3.12
Ga 0.2500 0.2500 0.2500 (multiplicity 4)  4 Na 3.12, 4 Bi 3.12
Bi 0.0000 0.0000 0.5000 (multiplicity 4)  4 Ga 3.12, 4 Au 3.12
Au 0.2500 0.2500 0.7500 (multiplicity 4)  4 Na 3.12, 4 Bi 3.12